Entry 1:
Computed, not measured: BaSbPS2 after structural relaxation at the GGA-PBE level of DFT.

formation energy without anion corrections: -2.35 eV per formula unit
energy above the most stable polymorph in this dataset: 0.000 eV per atom
ρ: 4.31 g cm⁻³
M_tot: 0.00 μB/cell

abc: 5.165 5.165 5.111
angles: 90.00 90.00 90.00
Space group P4/mmm (No. 123)
Unique sites:
Ba 0.000 0.000 0.000 (multiplicity 1)
Sb 0.500 0.500 0.500 (multiplicity 1)
P 0.500 0.500 0.000 (multiplicity 1)
S 0.000 0.500 0.500 (multiplicity 2)

=====

Entry 2:
Computed, not measured: BaSbPS6 after structural relaxation at the GGA-PBE level of DFT.

formation energy without anion corrections: -3.92 eV per formula unit
ρ: 3.40 g cm⁻³
M_tot: 0.00 μB/cell

abc: 6.2414 6.2414 6.9906
angles: 90.00 90.00 120.00
Space group P312 (No. 149)
Unique sites:
Ba 0.0000 0.0000 0.0000 (multiplicity 1)
Sb 0.3333 0.6667 0.5000 (multiplicity 1)
P 0.6667 0.3333 0.5000 (multiplicity 1)
S 0.3972 0.0328 0.6985 (multiplicity 6)